Record 1
A plane-wave DFT calculation with SCAN was carried out for ScCdRe at its PBEsol-relaxed geometry.

Its total energy is -114.86 eV for the cell shown. For the magnetization, the calculation gives 0.000 μB/atom. The density of states at the Fermi level comes out at 0.6453 states/eV per atom.

The structure in CIF format:
```
data_ScCdRe
_chemical_formula_sum 'Sc1 Cd1 Re1'
_cell_length_a 3.0265
_cell_length_b 3.0265
_cell_length_c 6.9311
_cell_angle_alpha 90.00
_cell_angle_beta 90.00
_cell_angle_gamma 120.00
_space_group_name_H-M_alt 'P 3 m 1'
_space_group_IT_number 156
_space_group_name_Hall 'P 3 -2"'
loop_
_atom_site_label
_atom_site_type_symbol
_atom_site_fract_x
_atom_site_fract_y
_atom_site_fract_z
_atom_site_occupancy
Sc1 Sc 0.0000 0.0000 0.0000 1
Cd1 Cd 0.6667 0.3333 0.6272 1
Re1 Re 0.3333 0.6667 0.2932 1
```

***

Record 2
A plane-wave DFT calculation with SCAN was carried out for Ca4GaSn3 at its PBEsol-relaxed geometry.

Its total energy is -168.38 eV for the cell shown. For the magnetization, the calculation gives 0.000 μB/atom. The density of states at the Fermi level comes out at 0.2573 states/eV per atom.

The structure in CIF format:
```
data_Ca4GaSn3
_chemical_formula_sum 'Ca4 Ga1 Sn3'
_cell_length_a 4.324
_cell_length_b 4.637
_cell_length_c 11.321
_cell_angle_alpha 90.00
_cell_angle_beta 90.00
_cell_angle_gamma 90.00
_space_group_name_H-M_alt 'P m m 2'
_space_group_IT_number 25
_space_group_name_Hall 'P 2 -2'
loop_
_atom_site_label
_atom_site_type_symbol
_atom_site_fract_x
_atom_site_fract_y
_atom_site_fract_z
_atom_site_occupancy
Ca1 Ca 0.000 0.000 0.000 1
Ca2 Ca 0.000 0.500 0.488 1
Ca3 Ca 0.500 0.000 0.265 1
Ca4 Ca 0.500 0.500 0.771 1
Ga1 Ga 0.000 0.500 0.211 1
Sn1 Sn 0.000 0.000 0.715 1
Sn2 Sn 0.500 0.000 0.547 1
Sn3 Sn 0.500 0.500 0.057 1
```

***

Record 3
A plane-wave DFT calculation with SCAN was carried out for Cd2InPb at its PBEsol-relaxed geometry.

Its total energy is -339.16 eV for the cell shown. For the magnetization, the calculation gives 0.000 μB/atom. The density of states at the Fermi level comes out at 0.4756 states/eV per atom.

The structure in CIF format:
```
data_Cd2InPb
_chemical_formula_sum 'Cd4 In2 Pb2'
_cell_length_a 3.527
_cell_length_b 5.348
_cell_length_c 10.591
_cell_angle_alpha 90.00
_cell_angle_beta 90.00
_cell_angle_gamma 90.00
_space_group_name_H-M_alt 'I m m 2'
_space_group_IT_number 44
_space_group_name_Hall 'I 2 -2'
loop_
_atom_site_label
_atom_site_type_symbol
_atom_site_fract_x
_atom_site_fract_y
_atom_site_fract_z
_atom_site_occupancy
Cd1 Cd 0.000 0.000 0.000 1
Cd2 Cd 0.000 0.500 0.272 1
In1 In 0.000 0.500 0.744 1
Pb1 Pb 0.000 0.000 0.513 1
```

***

Record 4
A plane-wave DFT calculation with SCAN was carried out for CuAgMo2 at its PBEsol-relaxed geometry.

Its total energy is -114.91 eV for the cell shown. For the magnetization, the calculation gives 0.000 μB/atom. The density of states at the Fermi level comes out at 0.5034 states/eV per atom.

The structure in CIF format:
```
data_CuAgMo2
_chemical_formula_sum 'Cu1 Ag1 Mo2'
_cell_length_a 2.589
_cell_length_b 4.329
_cell_length_c 5.269
_cell_angle_alpha 90.00
_cell_angle_beta 96.62
_cell_angle_gamma 90.00
_space_group_name_H-M_alt 'P 1 m 1'
_space_group_IT_number 6
_space_group_name_Hall 'P -2y'
loop_
_atom_site_label
_atom_site_type_symbol
_atom_site_fract_x
_atom_site_fract_y
_atom_site_fract_z
_atom_site_occupancy
Cu1 Cu 0.000 0.000 0.000 1
Ag1 Ag 0.982 0.500 0.746 1
Mo1 Mo 0.386 0.000 0.484 1
Mo2 Mo 0.598 0.500 0.231 1
```

***

Record 5
A plane-wave DFT calculation with SCAN was carried out for Ag3GeBi at its PBEsol-relaxed geometry.

Its total energy is -187.03 eV for the cell shown. For the magnetization, the calculation gives 0.000 μB/atom. The density of states at the Fermi level comes out at 0.6167 states/eV per atom.

The structure in CIF format:
```
data_Ag3GeBi
_chemical_formula_sum 'Ag3 Ge1 Bi1'
_cell_length_a 5.224
_cell_length_b 5.224
_cell_length_c 5.224
_cell_angle_alpha 90.00
_cell_angle_beta 90.00
_cell_angle_gamma 90.00
_space_group_name_H-M_alt 'P m -3 m'
_space_group_IT_number 221
_space_group_name_Hall '-P 4 2 3'
loop_
_atom_site_label
_atom_site_type_symbol
_atom_site_fract_x
_atom_site_fract_y
_atom_site_fract_z
_atom_site_occupancy
Ag1 Ag 0.000 0.000 0.500 1
Ge1 Ge 0.500 0.500 0.500 1
Bi1 Bi 0.000 0.000 0.000 1
```

***

Record 6
A plane-wave DFT calculation with SCAN was carried out for BaAl2Ir at its PBEsol-relaxed geometry.

Its total energy is -386.69 eV for the cell shown. For the magnetization, the calculation gives 0.013 μB/atom. The density of states at the Fermi level comes out at 0.7134 states/eV per atom.

The structure in CIF format:
```
data_BaAl2Ir
_chemical_formula_sum 'Ba3 Al6 Ir3'
_cell_length_a 4.3019
_cell_length_b 4.3019
_cell_length_c 17.8209
_cell_angle_alpha 90.00
_cell_angle_beta 90.00
_cell_angle_gamma 120.00
_space_group_name_H-M_alt 'R -3 m'
_space_group_IT_number 166
_space_group_name_Hall '-R 3 2"'
loop_
_atom_site_label
_atom_site_type_symbol
_atom_site_fract_x
_atom_site_fract_y
_atom_site_fract_z
_atom_site_occupancy
Ba1 Ba 0.0000 0.0000 0.0000 1
Al1 Al 0.0000 0.0000 0.1940 1
Ir1 Ir 0.0000 0.0000 0.5000 1
```

***

Record 7
A plane-wave DFT calculation with SCAN was carried out for NaSCl3 at its PBEsol-relaxed geometry.

For the magnetization, the calculation gives 0.802 μB/atom. The value obtained for the raw formation energy is 0.1 eV/f.u. The density of states at the Fermi level comes out at 1.0441 states/eV per atom.

The structure in CIF format:
```
data_NaSCl3
_chemical_formula_sum 'Na1 S1 Cl3'
_cell_length_a 5.118
_cell_length_b 5.118
_cell_length_c 5.118
_cell_angle_alpha 90.00
_cell_angle_beta 90.00
_cell_angle_gamma 90.00
_space_group_name_H-M_alt 'P m -3 m'
_space_group_IT_number 221
_space_group_name_Hall '-P 4 2 3'
loop_
_atom_site_label
_atom_site_type_symbol
_atom_site_fract_x
_atom_site_fract_y
_atom_site_fract_z
_atom_site_occupancy
Na1 Na 0.000 0.000 0.000 1
S1 S 0.500 0.500 0.500 1
Cl1 Cl 0.000 0.000 0.500 1
```

***

Record 8
A plane-wave DFT calculation with SCAN was carried out for Sc3SiAg at its PBEsol-relaxed geometry.

For the magnetization, the calculation gives 0.428 μB/atom. The value obtained for the raw formation energy is 0.2 eV/f.u. The density of states at the Fermi level comes out at 0.9906 states/eV per atom.

The structure in CIF format:
```
data_Sc3SiAg
_chemical_formula_sum 'Sc3 Si1 Ag1'
_cell_length_a 4.947
_cell_length_b 4.947
_cell_length_c 4.947
_cell_angle_alpha 90.00
_cell_angle_beta 90.00
_cell_angle_gamma 90.00
_space_group_name_H-M_alt 'P m -3 m'
_space_group_IT_number 221
_space_group_name_Hall '-P 4 2 3'
loop_
_atom_site_label
_atom_site_type_symbol
_atom_site_fract_x
_atom_site_fract_y
_atom_site_fract_z
_atom_site_occupancy
Sc1 Sc 0.000 0.000 0.500 1
Si1 Si 0.000 0.000 0.000 1
Ag1 Ag 0.500 0.500 0.500 1
```

***

Repeat the sixth record exactly.
A plane-wave DFT calculation with SCAN was carried out for BaAl2Ir at its PBEsol-relaxed geometry.

Its total energy is -386.69 eV for the cell shown. For the magnetization, the calculation gives 0.013 μB/atom. The density of states at the Fermi level comes out at 0.7134 states/eV per atom.

The structure in CIF format:
```
data_BaAl2Ir
_chemical_formula_sum 'Ba3 Al6 Ir3'
_cell_length_a 4.3019
_cell_length_b 4.3019
_cell_length_c 17.8209
_cell_angle_alpha 90.00
_cell_angle_beta 90.00
_cell_angle_gamma 120.00
_space_group_name_H-M_alt 'R -3 m'
_space_group_IT_number 166
_space_group_name_Hall '-R 3 2"'
loop_
_atom_site_label
_atom_site_type_symbol
_atom_site_fract_x
_atom_site_fract_y
_atom_site_fract_z
_atom_site_occupancy
Ba1 Ba 0.0000 0.0000 0.0000 1
Al1 Al 0.0000 0.0000 0.1940 1
Ir1 Ir 0.0000 0.0000 0.5000 1
```

***

Look up the magnetization of the first one.
0.000 μB/atom

***

Please write out number 4 again, unchanged.
A plane-wave DFT calculation with SCAN was carried out for CuAgMo2 at its PBEsol-relaxed geometry.

Its total energy is -114.91 eV for the cell shown. For the magnetization, the calculation gives 0.000 μB/atom. The density of states at the Fermi level comes out at 0.5034 states/eV per atom.

The structure in CIF format:
```
data_CuAgMo2
_chemical_formula_sum 'Cu1 Ag1 Mo2'
_cell_length_a 2.589
_cell_length_b 4.329
_cell_length_c 5.269
_cell_angle_alpha 90.00
_cell_angle_beta 96.62
_cell_angle_gamma 90.00
_space_group_name_H-M_alt 'P 1 m 1'
_space_group_IT_number 6
_space_group_name_Hall 'P -2y'
loop_
_atom_site_label
_atom_site_type_symbol
_atom_site_fract_x
_atom_site_fract_y
_atom_site_fract_z
_atom_site_occupancy
Cu1 Cu 0.000 0.000 0.000 1
Ag1 Ag 0.982 0.500 0.746 1
Mo1 Mo 0.386 0.000 0.484 1
Mo2 Mo 0.598 0.500 0.231 1
```